--- 1 ---
The following is a PBE calculation of a relaxed Ca5Sc crystal, from the Alexandria database.

Values from the calculation:
Volume = 38.3 Å³ per atom

a b c (Å): 7.261 7.261 8.989
angles (deg): 73.98 73.98 30.38
Element x y z (fractional)
Ca 0.987 0.987 0.001
Ca 0.328 0.328 0.336
Ca 0.618 0.618 0.251
Ca 0.672 0.672 0.692
Ca 0.946 0.946 0.616
Sc 0.283 0.283 0.938



--- 2 ---
The following is a PBE calculation of a relaxed Ca5Sc crystal, from the Alexandria database.

Values from the calculation:
Volume = 37.8 Å³ per atom

a b c (Å): 3.961 6.157 9.789
angles (deg): 108.33 90.00 90.00
Element x y z (fractional)
Sc 0.000 0.000 0.000
Ca 0.500 0.500 0.000
Ca 0.500 0.150 0.300
Ca 0.000 0.327 0.653
Ca 0.000 0.673 0.347
Ca 0.500 0.850 0.700



Relative energies with respect to the most stable structure, expressed in eV/atom: 1 0.000; 2 0.010.



--- 1 ---
The following is a PBE calculation of a relaxed CaScSe2 crystal, from the Alexandria database.

Values from the calculation:
Volume = 24.6 Å³ per atom

a b c (Å): 6.545 6.545 4.033
angles (deg): 90.00 90.00 34.65
Element x y z (fractional)
Sc 0.775 0.775 0.875
Se 0.990 0.990 0.875
Se 0.249 0.249 0.375
Ca 0.486 0.486 0.375



--- 2 ---
The following is a PBE calculation of a relaxed CaScSe2 crystal, from the Alexandria database.

Values from the calculation:
Volume = 23.1 Å³ per atom

a b c (Å): 3.992 3.992 7.063
angles (deg): 73.63 73.63 60.04
Element x y z (fractional)
Sc 0.750 0.750 0.750
Se 0.006 0.006 0.982
Se 0.494 0.494 0.518
Ca 0.250 0.250 0.250



Relative energies with respect to the most stable structure, expressed in eV/atom: 1 0.211; 2 0.000.



--- 1 ---
The following is a PBE calculation of a relaxed CaScSe2 crystal, from the Alexandria database.

Values from the calculation:
Volume = 29.6 Å³ per atom

a b c (Å): 8.909 8.909 8.909
angles (deg): 25.87 25.87 25.87
Element x y z (fractional)
Sc 0.500 0.500 0.500
Se 0.109 0.109 0.109
Se 0.891 0.891 0.891
Ca 0.000 0.000 0.000



--- 2 ---
The following is a PBE calculation of a relaxed CaScSe2 crystal, from the Alexandria database.

Values from the calculation:
Volume = 22.6 Å³ per atom

a b c (Å): 5.037 5.037 5.037
angles (deg): 60.00 60.00 60.00
Element x y z (fractional)
Se 0.000 0.000 0.000
Se 0.250 0.250 0.250
Sc 0.750 0.750 0.750
Ca 0.500 0.500 0.500



Relative energies with respect to the most stable structure, expressed in eV/atom: 1 0.000; 2 0.908.